{"formula": "MgH22SO15", "functional": "meta-GGA SCAN", "state": "single point on PBEsol structure", "rho_g_cm3": 1.57, "dos_ef_per_ev_cell": 0.000, "energy_ev_per_atom": -5.960, "lattice_angstrom": [[6.5703, 0.0000, 0.0000], [3.0348, 5.9684, 0.0000], [0.2054, 0.7913, 17.1477]], "species": ["Mg", "Mg", "H", "H", "H", "H", "H", "H", "H", "H", "H", "H", "H", "H", "H", "H", "H", "H", "H", "H", "H", "H", "H", "H", "H", "H", "H", "H", "H", "H", "H", "H", "H", "H", "H", "H", "H", "H", "H", "H", "H", "H", "H", "H", "H", "H", "S", "S", "O", "O", "O", "O", "O", "O", "O", "O", "O", "O", "O", "O", "O", "O", "O", "O", "O", "O", "O", "O", "O", "O", "O", "O", "O", "O", "O", "O", "O", "O"], "frac_coords": [[0.0000, 0.0000, 0.0000], [0.0000, 0.0000, 0.5000], [0.0253, 0.5727, 0.2161], [0.0482, 0.0276, 0.6590], [0.0734, 0.7375, 0.7423], [0.0888, 0.8976, 0.8429], [0.1142, 0.5870, 0.5728], [0.1352, 0.1884, 0.6125], [0.1567, 0.2698, 0.4207], [0.1620, 0.0356, 0.2592], [0.1996, 0.6684, 0.1081], [0.2273, 0.2655, 0.9724], [0.2432, 0.5838, 0.9179], [0.2660, 0.5732, 0.2340], [0.2884, 0.4054, 0.8555], [0.2948, 0.1434, 0.0577], [0.3210, 0.8614, 0.8849], [0.3307, 0.3043, 0.1592], [0.4109, 0.6828, 0.0666], [0.4138, 0.3652, 0.3519], [0.4386, 0.1186, 0.3397], [0.4418, 0.8148, 0.5427], [0.4577, 0.7637, 0.4522], [0.4595, 0.0432, 0.1818], [0.5405, 0.9568, 0.8182], [0.5423, 0.2363, 0.5478], [0.5582, 0.1852, 0.4573], [0.5614, 0.8814, 0.6603], [0.5862, 0.6348, 0.6481], [0.5891, 0.3172, 0.9334], [0.6693, 0.6957, 0.8408], [0.6790, 0.1386, 0.1151], [0.7052, 0.8566, 0.9423], [0.7116, 0.5946, 0.1445], [0.7340, 0.4268, 0.7660], [0.7568, 0.4162, 0.0821], [0.7727, 0.7345, 0.0276], [0.8004, 0.3316, 0.8919], [0.8380, 0.9644, 0.7408], [0.8433, 0.7302, 0.5793], [0.8648, 0.8116, 0.3875], [0.8858, 0.4130, 0.4272], [0.9112, 0.1024, 0.1571], [0.9266, 0.2625, 0.2577], [0.9518, 0.9724, 0.3410], [0.9747, 0.4273, 0.7839], [0.4102, 0.3197, 0.7003], [0.5898, 0.6803, 0.2997], [0.0065, 0.9026, 0.7476], [0.0172, 0.2736, 0.4463], [0.0436, 0.1064, 0.6081], [0.1668, 0.8641, 0.8952], [0.1747, 0.5460, 0.1930], [0.2010, 0.1604, 0.0100], [0.2179, 0.4375, 0.7552], [0.2442, 0.7271, 0.0599], [0.3093, 0.4171, 0.9120], [0.3189, 0.3278, 0.6212], [0.3497, 0.8236, 0.4954], [0.3967, 0.2374, 0.3780], [0.4348, 0.1532, 0.1374], [0.4370, 0.5729, 0.3009], [0.4589, 0.9204, 0.2712], [0.5411, 0.0796, 0.7288], [0.5630, 0.4271, 0.6991], [0.5652, 0.8468, 0.8626], [0.6033, 0.7626, 0.6220], [0.6503, 0.1764, 0.5046], [0.6811, 0.6722, 0.3788], [0.6907, 0.5829, 0.0880], [0.7558, 0.2729, 0.9401], [0.7821, 0.5625, 0.2448], [0.7990, 0.8396, 0.9900], [0.8253, 0.4540, 0.8070], [0.8332, 0.1359, 0.1048], [0.9564, 0.8936, 0.3919], [0.9828, 0.7264, 0.5537], [0.9935, 0.0974, 0.2524]]}